(1)
This record from Alexandria describes TbSm2Pd2 after structural relaxation. The functional is PBE.

Values from the calculation:
Symmetry: Cmc2_1, No. 36
Energy relative to the lowest polymorph listed for this composition, meV per atom: 81
VASP energy, eV/f.u.: -27.45

Lattice parameters (Å, degrees): 3.934 7.075 10.156 90.00 90.00 106.14
Positions (direct):
1 Tb 0.613 0.226 0.982
2 Tb 0.387 0.774 0.482
3 Sm 0.899 0.798 0.147
4 Sm 0.326 0.652 0.843
5 Sm 0.101 0.202 0.647
6 Sm 0.674 0.348 0.343
7 Pd 0.240 0.480 0.133
8 Pd 0.980 0.960 0.881
9 Pd 0.760 0.520 0.633
10 Pd 0.020 0.040 0.381

(2)
This record from Alexandria describes TbSm2Pd2 after structural relaxation. The functional is PBE.

Values from the calculation:
Symmetry: P4/mbm, No. 127
Energy relative to the lowest polymorph listed for this composition, meV per atom: 0
VASP energy, eV/f.u.: -27.86

Lattice parameters (Å, degrees): 3.998 7.923 7.923 90.00 90.00 90.00
Positions (direct):
1 Tb 0.500 0.500 0.000
2 Tb 0.500 0.000 0.500
3 Sm 0.000 0.667 0.333
4 Sm 0.000 0.833 0.833
5 Sm 0.000 0.167 0.167
6 Sm 0.000 0.333 0.667
7 Pd 0.500 0.370 0.370
8 Pd 0.500 0.870 0.130
9 Pd 0.500 0.130 0.870
10 Pd 0.500 0.630 0.630

(3)
This record from Alexandria describes TbSm2Pd after structural relaxation. The functional is PBE.

Values from the calculation:
Symmetry: R-3m, No. 166
Energy relative to the lowest polymorph listed for this composition, meV per atom: 156
VASP energy, eV/f.u.: -20.31

Lattice parameters (Å, degrees): 3.736 3.736 10.083 79.32 79.32 60.00
Positions (direct):
1 Tb 0.500 0.500 0.500
2 Pd 0.000 0.000 0.000
3 Sm 0.267 0.267 0.199
4 Sm 0.733 0.733 0.801

(4)
This record from Alexandria describes TbSm2Pd4 after structural relaxation. The functional is PBE.

Values from the calculation:
Symmetry: I4/mmm, No. 139
VASP energy, eV/f.u.: -36.32

Lattice parameters (Å, degrees): 5.050 5.050 8.202 107.93 107.93 90.00
Positions (direct):
1 Tb 0.000 0.000 0.000
2 Sm 0.634 0.634 0.267
3 Sm 0.366 0.366 0.733
4 Pd 0.817 0.817 0.634
5 Pd 0.183 0.183 0.366
6 Pd 0.000 0.500 0.000
7 Pd 0.500 0.000 0.000

(5)
This record from Alexandria describes Tb5SmPd2 after structural relaxation. The functional is PBE.

Values from the calculation:
Symmetry: Cmcm, No. 63
VASP energy, eV/f.u.: -41.15

Lattice parameters (Å, degrees): 3.857 6.672 18.250 90.00 90.00 106.80
Positions (direct):
1 Tb 0.946 0.892 0.895
2 Tb 0.946 0.892 0.605
3 Tb 0.347 0.695 0.458
4 Tb 0.347 0.695 0.042
5 Tb 0.620 0.240 0.250
6 Tb 0.380 0.760 0.750
7 Tb 0.653 0.305 0.542
8 Tb 0.653 0.305 0.958
9 Tb 0.054 0.108 0.105
10 Tb 0.054 0.108 0.395
11 Sm 0.646 0.291 0.750
12 Sm 0.354 0.709 0.250
13 Pd 0.750 0.499 0.372
14 Pd 0.750 0.499 0.128
15 Pd 0.250 0.501 0.628
16 Pd 0.250 0.501 0.872

(6)
This record from Alexandria describes Tb6SmPd3 after structural relaxation. The functional is PBE.

Values from the calculation:
Symmetry: Cmc2_1, No. 36
VASP energy, eV/f.u.: -52.97

Lattice parameters (Å, degrees): 7.236 8.772 8.772 97.95 90.00 90.00
Positions (direct):
1 Tb 0.168 0.710 0.630
2 Tb 0.668 0.630 0.710
3 Tb 0.322 0.581 0.966
4 Tb 0.822 0.966 0.581
5 Tb 0.160 0.034 0.966
6 Tb 0.520 0.232 0.768
7 Tb 0.020 0.768 0.232
8 Tb 0.660 0.966 0.034
9 Tb 0.322 0.034 0.419
10 Tb 0.822 0.419 0.034
11 Tb 0.168 0.370 0.290
12 Tb 0.668 0.290 0.370
13 Sm 0.038 0.318 0.682
14 Sm 0.538 0.682 0.318
15 Pd 0.455 0.914 0.713
16 Pd 0.955 0.713 0.914
17 Pd 0.377 0.427 0.573
18 Pd 0.877 0.573 0.427
19 Pd 0.955 0.086 0.287
20 Pd 0.455 0.287 0.086

(7)
This record from Alexandria describes TbSm4Pd2 after structural relaxation. The functional is PBE.

Values from the calculation:
Symmetry: R-3m, No. 166
Energy relative to the lowest polymorph listed for this composition, meV per atom: 17
VASP energy, eV/f.u.: -36.00

Lattice parameters (Å, degrees): 4.031 4.031 15.517 82.54 82.54 60.00
Positions (direct):
1 Tb 0.500 0.500 0.500
2 Sm 0.699 0.699 0.904
3 Sm 0.895 0.895 0.315
4 Sm 0.301 0.301 0.096
5 Sm 0.105 0.105 0.685
6 Pd 0.598 0.598 0.205
7 Pd 0.402 0.402 0.795

(8)
This record from Alexandria describes Tb3SmPd after structural relaxation. The functional is PBE.

Values from the calculation:
Symmetry: C2/m, No. 12
Energy relative to the lowest polymorph listed for this composition, meV per atom: 0
VASP energy, eV/f.u.: -25.08

Lattice parameters (Å, degrees): 5.227 6.343 9.178 96.77 106.54 90.00
Positions (direct):
1 Tb 0.039 0.773 0.077
2 Tb 0.961 0.227 0.923
3 Tb 0.318 0.102 0.636
4 Tb 0.682 0.898 0.364
5 Tb 0.205 0.563 0.410
6 Tb 0.795 0.437 0.590
7 Sm 0.590 0.355 0.180
8 Sm 0.410 0.645 0.820
9 Pd 0.849 0.876 0.699
10 Pd 0.151 0.124 0.301

(9)
This record from Alexandria describes Tb2SmPd after structural relaxation. The functional is PBE.

Values from the calculation:
Symmetry: P4/mmm, No. 123
Energy relative to the lowest polymorph listed for this composition, meV per atom: 55
VASP energy, eV/f.u.: -20.77

Lattice parameters (Å, degrees): 3.604 3.604 8.534 90.00 90.00 90.00
Positions (direct):
1 Tb 0.000 0.000 0.805
2 Tb 0.000 0.000 0.195
3 Pd 0.500 0.500 0.000
4 Sm 0.500 0.500 0.500

(10)
This record from Alexandria describes TbSm4Pd2 after structural relaxation. The functional is PBE.

Values from the calculation:
Symmetry: Cmcm, No. 63
Energy relative to the lowest polymorph listed for this composition, meV per atom: 0
VASP energy, eV/f.u.: -36.12

Lattice parameters (Å, degrees): 6.503 8.037 8.044 110.36 90.00 90.00
Positions (direct):
1 Tb 0.750 0.858 0.642
2 Tb 0.250 0.142 0.358
3 Sm 0.500 0.298 0.798
4 Sm 0.750 0.051 0.075
5 Sm 0.250 0.949 0.925
6 Sm 0.000 0.298 0.798
7 Sm 0.250 0.575 0.550
8 Sm 0.000 0.702 0.202
9 Sm 0.500 0.702 0.202
10 Sm 0.750 0.425 0.450
11 Pd 0.750 0.642 0.859
12 Pd 0.250 0.358 0.141
13 Pd 0.250 0.934 0.566
14 Pd 0.750 0.066 0.434

(11)
This record from Alexandria describes TbSmPd14 after structural relaxation. The functional is PBE.

Values from the calculation:
Symmetry: P4/mmm, No. 123
VASP energy, eV/f.u.: -88.29

Lattice parameters (Å, degrees): 5.791 5.791 7.964 90.00 90.00 90.00
Positions (direct):
1 Tb 0.375 0.375 0.500
2 Sm 0.875 0.875 0.500
3 Pd 0.875 0.875 0.000
4 Pd 0.375 0.375 0.000
5 Pd 0.875 0.375 0.500
6 Pd 0.875 0.375 0.000
7 Pd 0.375 0.875 0.500
8 Pd 0.375 0.875 0.000
9 Pd 0.624 0.126 0.239
10 Pd 0.624 0.126 0.761
11 Pd 0.126 0.624 0.239
12 Pd 0.126 0.624 0.761
13 Pd 0.624 0.624 0.239
14 Pd 0.624 0.624 0.761
15 Pd 0.126 0.126 0.239
16 Pd 0.126 0.126 0.761

(12)
This record from Alexandria describes TbSm2Pd after structural relaxation. The functional is PBE.

Values from the calculation:
Symmetry: R3m, No. 160
Energy relative to the lowest polymorph listed for this composition, meV per atom: 160
VASP energy, eV/f.u.: -20.29

Lattice parameters (Å, degrees): 3.819 3.819 9.783 78.74 78.74 60.00
Positions (direct):
1 Tb 0.500 0.500 0.500
2 Sm 0.066 0.066 0.803
3 Sm 0.268 0.268 0.197
4 Pd 0.667 0.667 0.000

no.,DFT formation energy (meV/atom)
1,-600
2,-681
3,-262
4,-211
5,-362
6,-489
7,-301
8,-255
9,-399
10,-318
11,-390
12,-257